ZnTcPdC2, optimized geometry, DFT PBE; density = 6.344 g cm⁻³; ΔH_f (0 K) = 1.356 eV/atom; space-group type = P4/mmm, No. 123
1.0
-0.983 3.282 1.909
-0.422 -2.599 4.251
3.783 0.675 0.788
C Zn Tc Pd
2 1 1 1
Direct
0.000 0.000 0.500
0.500 0.000 0.000
0.000 0.500 0.000
0.000 0.000 0.000
0.500 0.500 0.500

TePd2C, optimized geometry, DFT PBE; density = 9.307 g cm⁻³; formation energy (no corrections) = 1.011 eV per atom; space-group type = Fm-3m, No. 225
1.0
0.000 3.156 3.156
3.156 0.000 3.156
3.156 3.156 0.000
C Te Pd
1 1 2
Direct
0.000 0.000 0.000
0.500 0.500 0.500
0.250 0.250 0.250
0.750 0.750 0.750